No. 1
Computed, not measured: a relaxed Na5B8C2 crystal at the PBE-GGA level of DFT.

a b c (Å): 11.8003 11.8003 10.1482
angles (deg): 105.97 105.97 13.73
Last column: nearest neighbours and their distance in Å.
Fractional coordinates of all 30 atoms:
Na1 0.3996 0.3996 0.8019  8 B 2.68-2.84, 4 C 2.71-2.75, 6 Na 2.82-2.96
Na2 0.4993 0.4993 0.4994  8 B 2.65-2.85, 4 C 2.68-2.82, 2 Na 2.82
Na3 0.2010 0.2010 0.3999  12 B 2.70-2.94, 4 Na 2.82-3.03
Na4 0.3013 0.3013 0.0995  11 B 2.69-2.94, 1 C 2.79, 6 Na 2.82-3.00
Na5 0.9981 0.9981 0.9993  8 B 2.66-2.79, 4 C 2.71-2.76, 4 Na 2.82-2.96
Na6 0.0992 0.0992 0.6979  10 B 2.67-2.96, 2 C 2.76, 4 Na 2.82-2.99
Na7 0.8029 0.8029 0.6015  9 B 2.66-2.85, 3 C 2.73-2.80, 4 Na 2.82-2.95
Na8 0.9001 0.9001 0.3008  9 B 2.66-2.85, 3 C 2.70-2.87, 4 Na 2.82-2.98
Na9 0.5988 0.5988 0.1985  11 B 2.69-2.96, 1 C 2.82, 4 Na 2.82-3.00
Na10 0.7001 0.7001 0.9012  10 B 2.67-2.98, 2 C 2.75, 2 Na 2.82
B1 0.0772 0.0772 0.4063  3 B 1.74-1.80
B2 0.0113 0.0113 0.2746  2 C 1.63, 1 B 1.74
B3 0.9824 0.9824 0.7162  3 C 1.61-1.63
B4 0.7205 0.7205 0.1892  3 B 1.69-1.81
B5 0.8811 0.8811 0.0106  3 B 1.73-1.76
B6 0.8157 0.8157 0.8796  2 C 1.64, 1 B 1.73
B7 0.7843 0.7843 0.3171  3 B 1.69-1.77
B8 0.6828 0.6828 0.6149  3 B 1.66-1.81
B9 0.6195 0.6195 0.4897  3 B 1.66-1.80
B10 0.5722 0.5722 0.8958  1 C 1.56
B11 0.3247 0.3247 0.3991  3 B 1.76-1.77
B12 0.4208 0.4208 0.0916  1 C 1.58, 2 B 1.76
B13 0.3911 0.3911 0.5325  2 C 1.62, 1 B 1.76
B14 0.1138 0.1138 0.9787  3 B 1.66-1.79
B15 0.2258 0.2258 0.7000  1 C 1.54
B16 0.1771 0.1771 0.1037  3 B 1.66-1.81
C1 0.9214 0.9214 0.5935  3 B 1.61-1.62
C2 0.5133 0.5133 0.7780  3 B 1.56-1.63
C3 0.4804 0.4804 0.2127  3 B 1.58-1.63
C4 0.2842 0.2842 0.8160  3 B 1.54-1.64

Theoretical density ... 2323 kg/m³
DFT formation energy ... 176 meV per atom
Energy above the lowest structure with this stoichiometry ... 0.005 eV/atom
VASP energy ... -75.83 eV per formula unit
Calculated volume ... 161 Å³/f.u.
Spin magnetization ... 0.00 Bohr magnetons per cell

No. 2
Computed, not measured: a relaxed Na4B5C3 crystal at the PBE-GGA level of DFT.

a b c (Å): 5.7224 5.7224 8.5216
angles (deg): 90.00 90.00 119.67
Last column: nearest neighbours and their distance in Å.
Fractional coordinates of all 24 atoms:
Na1 0.5000 0.5000 0.0000  4 C 2.69-2.70, 8 B 2.70-2.73, 6 Na 2.86-2.88
Na2 0.5000 0.5000 0.5000  4 C 2.69-2.70, 8 B 2.70-2.73, 6 Na 2.86-2.88
Na3 0.5006 0.9994 0.0028  7 B 2.67-2.71, 5 C 2.68-2.72, 6 Na 2.86-2.88
Na4 0.5006 0.9994 0.4972  7 B 2.67-2.71, 5 C 2.68-2.72, 6 Na 2.86-2.88
Na5 0.9994 0.5006 0.9972  7 B 2.67-2.71, 5 C 2.68-2.72, 6 Na 2.86-2.88
Na6 0.9994 0.5006 0.5028  7 B 2.67-2.71, 5 C 2.68-2.72, 6 Na 2.86-2.88
Na7 0.0000 0.0000 0.0000  4 C 2.69-2.70, 8 B 2.70-2.73, 6 Na 2.86-2.88
Na8 0.0000 0.0000 0.5000  4 C 2.69-2.70, 8 B 2.70-2.73, 6 Na 2.86-2.88
C1 0.1655 0.8338 0.7500  3 B 1.62-1.65
C2 0.3345 0.6662 0.2500  3 B 1.62-1.65
C3 0.6662 0.3345 0.7500  3 B 1.62-1.65
C4 0.8338 0.1655 0.2500  3 B 1.62-1.65
C5 0.6658 0.8342 0.7500  3 B 1.61-1.66
C6 0.8342 0.6658 0.2500  3 B 1.61-1.66
B1 0.1648 0.3352 0.7500  3 B 1.71-1.75
B2 0.3352 0.1648 0.2500  3 B 1.71-1.75
B3 0.1583 0.3417 0.2500  2 C 1.62, 1 B 1.75
B4 0.3417 0.1583 0.7500  2 C 1.62, 1 B 1.75
B5 0.1577 0.8210 0.2500  2 C 1.61-1.64, 1 B 1.71
B6 0.3423 0.6790 0.7500  2 C 1.61-1.64, 1 B 1.71
B7 0.6790 0.3423 0.2500  2 C 1.61-1.64, 1 B 1.71
B8 0.8210 0.1577 0.7500  2 C 1.61-1.64, 1 B 1.71
B9 0.6666 0.8334 0.2500  3 C 1.65-1.66
B10 0.8334 0.6666 0.7500  3 C 1.65-1.66

Theoretical density ... 2494 kg/m³
DFT formation energy ... 106 meV per atom
Energy above the lowest structure with this stoichiometry ... 0.046 eV/atom
VASP energy ... -65.06 eV per formula unit
Calculated volume ... 121 Å³/f.u.
Spin magnetization ... 0.00 Bohr magnetons per cell

Q: Which value of spin magnetization does entry 1 give?
A: 0.00 Bohr magnetons per cell

Q: Which value of calculated volume does entry 2 give?
A: 121 Å³/f.u.

Repeat the first record exactly.
Computed, not measured: a relaxed Na5B8C2 crystal at the PBE-GGA level of DFT.

a b c (Å): 11.8003 11.8003 10.1482
angles (deg): 105.97 105.97 13.73
Last column: nearest neighbours and their distance in Å.
Fractional coordinates of all 30 atoms:
Na1 0.3996 0.3996 0.8019  8 B 2.68-2.84, 4 C 2.71-2.75, 6 Na 2.82-2.96
Na2 0.4993 0.4993 0.4994  8 B 2.65-2.85, 4 C 2.68-2.82, 2 Na 2.82
Na3 0.2010 0.2010 0.3999  12 B 2.70-2.94, 4 Na 2.82-3.03
Na4 0.3013 0.3013 0.0995  11 B 2.69-2.94, 1 C 2.79, 6 Na 2.82-3.00
Na5 0.9981 0.9981 0.9993  8 B 2.66-2.79, 4 C 2.71-2.76, 4 Na 2.82-2.96
Na6 0.0992 0.0992 0.6979  10 B 2.67-2.96, 2 C 2.76, 4 Na 2.82-2.99
Na7 0.8029 0.8029 0.6015  9 B 2.66-2.85, 3 C 2.73-2.80, 4 Na 2.82-2.95
Na8 0.9001 0.9001 0.3008  9 B 2.66-2.85, 3 C 2.70-2.87, 4 Na 2.82-2.98
Na9 0.5988 0.5988 0.1985  11 B 2.69-2.96, 1 C 2.82, 4 Na 2.82-3.00
Na10 0.7001 0.7001 0.9012  10 B 2.67-2.98, 2 C 2.75, 2 Na 2.82
B1 0.0772 0.0772 0.4063  3 B 1.74-1.80
B2 0.0113 0.0113 0.2746  2 C 1.63, 1 B 1.74
B3 0.9824 0.9824 0.7162  3 C 1.61-1.63
B4 0.7205 0.7205 0.1892  3 B 1.69-1.81
B5 0.8811 0.8811 0.0106  3 B 1.73-1.76
B6 0.8157 0.8157 0.8796  2 C 1.64, 1 B 1.73
B7 0.7843 0.7843 0.3171  3 B 1.69-1.77
B8 0.6828 0.6828 0.6149  3 B 1.66-1.81
B9 0.6195 0.6195 0.4897  3 B 1.66-1.80
B10 0.5722 0.5722 0.8958  1 C 1.56
B11 0.3247 0.3247 0.3991  3 B 1.76-1.77
B12 0.4208 0.4208 0.0916  1 C 1.58, 2 B 1.76
B13 0.3911 0.3911 0.5325  2 C 1.62, 1 B 1.76
B14 0.1138 0.1138 0.9787  3 B 1.66-1.79
B15 0.2258 0.2258 0.7000  1 C 1.54
B16 0.1771 0.1771 0.1037  3 B 1.66-1.81
C1 0.9214 0.9214 0.5935  3 B 1.61-1.62
C2 0.5133 0.5133 0.7780  3 B 1.56-1.63
C3 0.4804 0.4804 0.2127  3 B 1.58-1.63
C4 0.2842 0.2842 0.8160  3 B 1.54-1.64

Theoretical density ... 2323 kg/m³
DFT formation energy ... 176 meV per atom
Energy above the lowest structure with this stoichiometry ... 0.005 eV/atom
VASP energy ... -75.83 eV per formula unit
Calculated volume ... 161 Å³/f.u.
Spin magnetization ... 0.00 Bohr magnetons per cell